No. 1
DFT (meta-GGA SCAN) results for BeFe2Si at its PBEsol-relaxed geometry.

It has space group P4/mmm (No. 123), with a = 3.759 Å, b = 3.759 Å, c = 2.694 Å, α = 90.00°, β = 90.00° and γ = 90.00°. Symmetry generates all atoms from Be at (0.000, 0.000, 0.000), Fe at (0.000, 0.500, 0.500) and Si at (0.500, 0.500, 0.000).

The uncorrected formation energy is -0.31 eV per atom. For the total energy, the calculation gives -51.86 eV per cell.

***

No. 2
DFT (meta-GGA SCAN) results for Be2FeSi at its PBEsol-relaxed geometry.

It has space group Immm (No. 71), with a = 2.933 Å, b = 3.498 Å, c = 7.232 Å, α = 90.00°, β = 90.00° and γ = 90.00°. Symmetry generates all atoms from Be at (0.000, 0.000, 0.244), Fe at (0.000, 0.500, 0.500) and Si at (0.000, 0.500, 0.000).

The uncorrected formation energy is -0.20 eV per atom. For the total energy, the calculation gives -75.31 eV per cell.

***

No. 3
DFT (meta-GGA SCAN) results for BeFe2Si at its PBEsol-relaxed geometry.

It has space group Fm-3m (No. 225), with a = 5.333 Å, b = 5.333 Å, c = 5.333 Å, α = 90.00°, β = 90.00° and γ = 90.00°. Symmetry generates all atoms from Be at (0.000, 0.000, 0.000), Fe at (0.250, 0.250, 0.250) and Si at (0.000, 0.000, 0.500).

The uncorrected formation energy is -0.33 eV per atom. For the total energy, the calculation gives -207.76 eV per cell.

***

No. 4
DFT (meta-GGA SCAN) results for Be4FeSi at its PBEsol-relaxed geometry.

It has space group F-43m (No. 216), with a = 5.804 Å, b = 5.804 Å, c = 5.804 Å, α = 90.00°, β = 90.00° and γ = 90.00°. Symmetry generates all atoms from Be at (0.124, 0.124, 0.376), Fe at (0.250, 0.250, 0.750) and Si at (0.000, 0.000, 0.000).

The uncorrected formation energy is -0.18 eV per atom. For the total energy, the calculation gives -186.68 eV per cell.

***

No. 5
DFT (meta-GGA SCAN) results for Be2FeSi at its PBEsol-relaxed geometry.

It has space group I4/mmm (No. 139), with a = 3.242 Å, b = 3.242 Å, c = 7.062 Å, α = 90.00°, β = 90.00° and γ = 90.00°. Symmetry generates all atoms from Be at (0.000, 0.500, 0.250), Fe at (0.000, 0.000, 0.000) and Si at (0.000, 0.000, 0.500).

The uncorrected formation energy is -0.18 eV per atom. For the total energy, the calculation gives -75.13 eV per cell.

***

No. 6
DFT (meta-GGA SCAN) results for Be2FeSi at its PBEsol-relaxed geometry.

It has space group I-4m2 (No. 119), with a = 3.287 Å, b = 3.287 Å, c = 6.868 Å, α = 90.00°, β = 90.00° and γ = 90.00°. Symmetry generates all atoms from Be at (0.000, 0.000, 0.000), Be at (0.000, 0.500, 0.250), Fe at (0.000, 0.500, 0.750) and Si at (0.000, 0.000, 0.500).

The uncorrected formation energy is -0.25 eV per atom. For the total energy, the calculation gives -75.69 eV per cell.

***

No. 7
DFT (meta-GGA SCAN) results for BeFe3Si at its PBEsol-relaxed geometry.

It has space group Pm-3m (No. 221), with a = 3.777 Å, b = 3.777 Å, c = 3.777 Å, α = 90.00°, β = 90.00° and γ = 90.00°. Symmetry generates all atoms from Be at (0.000, 0.000, 0.000), Fe at (0.000, 0.000, 0.500) and Si at (0.500, 0.500, 0.500).

The uncorrected formation energy is 0.50 eV per atom. For the total energy, the calculation gives -66.26 eV per cell.

***

No. 8
DFT (meta-GGA SCAN) results for SrBe2Fe at its PBEsol-relaxed geometry.

It has space group Pmmm (No. 47), with a = 3.992 Å, b = 4.043 Å, c = 4.165 Å, α = 90.00°, β = 90.00° and γ = 90.00°. Symmetry generates all atoms from Sr at (0.000, 0.000, 0.000), Be at (0.000, 0.500, 0.500), Be at (0.500, 0.000, 0.500) and Fe at (0.500, 0.500, 0.000).

Its formation enthalpy at 0 K is 1.052 eV/atom. For the total energy, the calculation gives -44.90 eV per cell.

***

No. 9
DFT (meta-GGA SCAN) results for SrBeFe2 at its PBEsol-relaxed geometry.

It has space group Cmmm (No. 65), with a = 5.455 Å, b = 8.298 Å, c = 2.689 Å, α = 90.00°, β = 90.00° and γ = 90.00°. Symmetry generates all atoms from Sr at (0.000, 0.000, 0.000), Be at (0.000, 0.500, 0.000) and Fe at (0.250, 0.250, 0.500).

Its formation enthalpy at 0 K is 1.108 eV/atom. For the total energy, the calculation gives -116.91 eV per cell.

***

No. 10
DFT (meta-GGA SCAN) results for SrBeFe2 at its PBEsol-relaxed geometry.

It has space group Pmmm (No. 47), with a = 3.107 Å, b = 4.305 Å, c = 4.551 Å, α = 90.00°, β = 90.00° and γ = 90.00°. Symmetry generates all atoms from Sr at (0.000, 0.000, 0.000), Be at (0.500, 0.000, 0.500), Fe at (0.000, 0.500, 0.500) and Fe at (0.500, 0.500, 0.000).

Its formation enthalpy at 0 K is 0.993 eV/atom. For the total energy, the calculation gives -58.91 eV per cell.

***

No. 11
DFT (meta-GGA SCAN) results for SrBeFe3 at its PBEsol-relaxed geometry.

It has space group Pm-3m (No. 221), with a = 4.555 Å, b = 4.555 Å, c = 4.555 Å, α = 90.00°, β = 90.00° and γ = 90.00°. Symmetry generates all atoms from Sr at (0.000, 0.000, 0.000), Be at (0.500, 0.500, 0.500) and Fe at (0.000, 0.000, 0.500).

Its formation enthalpy at 0 K is 2.674 eV/atom. For the total energy, the calculation gives -67.65 eV per cell.

***

No. 12
DFT (meta-GGA SCAN) results for TaBeFe2 at its PBEsol-relaxed geometry.

It has space group Imm2 (No. 44), with a = 3.036 Å, b = 3.830 Å, c = 7.965 Å, α = 90.00°, β = 90.00° and γ = 90.00°. Symmetry generates all atoms from Ta at (0.000, 0.000, 0.000), Be at (0.000, 0.500, 0.234), Fe at (0.000, 0.000, 0.503) and Fe at (0.000, 0.500, 0.755).

Its formation enthalpy at 0 K is -0.013 eV/atom. For the total energy, the calculation gives -214.50 eV per cell.